Record 1
Material: ScPd2Au2
Method: DFT, PBE
State: relaxed

The structure in POSCAR format:
```
ScPd2Au2
1.0
6.858 0.000 0.000
0.000 6.858 0.000
0.000 0.000 3.876
Sc Pd Au
2 4 4
Direct
0.000 0.000 0.000
0.500 0.500 0.000
0.140 0.360 0.000
0.360 0.860 0.000
0.640 0.140 0.000
0.860 0.640 0.000
0.160 0.660 0.500
0.340 0.160 0.500
0.660 0.840 0.500
0.840 0.340 0.500
```

For the raw total energy, the calculation gives -5.113 eV per atom. The symmetry is P4/mbm. The density of states at the Fermi level is 4.103 states/eV/cell. The volume is 182.3 Å³/cell. Its formation energy is -0.46 eV per atom.

=====

Record 2
Material: SmScPdAu
Method: DFT, PBE
State: relaxed

The structure in POSCAR format:
```
SmScPdAu
1.0
0.000 3.507 3.507
3.507 0.000 3.507
3.507 3.507 0.000
Sm Sc Pd Au
1 1 1 1
Direct
0.000 0.000 0.000
0.500 0.500 0.500
0.250 0.250 0.250
0.750 0.750 0.750
```

For the raw total energy, the calculation gives -5.647 eV per atom. The symmetry is F-43m. The density of states at the Fermi level is 3.249 states/eV/cell. The volume is 86.2 Å³/cell. Its formation energy is -0.77 eV per atom.

=====

Record 3
Material: SmScPdAu
Method: DFT, PBE
State: relaxed

The structure in POSCAR format:
```
SmScPdAu
1.0
4.680 0.000 0.000
0.000 1.829 5.205
0.000 -1.829 5.205
Sm Sc Pd Au
1 1 1 1
Direct
0.000 0.000 0.000
0.500 0.279 0.279
0.000 0.730 0.730
0.500 0.561 0.561
```

For the raw total energy, the calculation gives -5.677 eV per atom. The symmetry is Amm2. The density of states at the Fermi level is 2.119 states/eV/cell. The volume is 89.1 Å³/cell. Its formation energy is -0.80 eV per atom.

=====

Record 4
Material: Sc2SnPd5Au
Method: DFT, PBE
State: relaxed

The structure in POSCAR format:
```
Sc2SnPd5Au
1.0
-3.966 3.966 5.428
3.966 -3.966 5.428
3.966 3.966 -5.428
Sc Sn Pd Au
4 2 10 2
Direct
0.123 0.623 0.746
0.377 0.123 0.500
0.623 0.877 0.500
0.877 0.377 0.254
0.250 0.250 0.000
0.750 0.750 0.000
0.000 0.000 0.000
0.072 0.167 0.500
0.167 0.667 0.095
0.333 0.428 0.500
0.428 0.928 0.095
0.500 0.500 0.000
0.572 0.072 0.905
0.667 0.572 0.500
0.833 0.333 0.905
0.928 0.833 0.500
0.250 0.750 0.500
0.750 0.250 0.500
```

For the raw total energy, the calculation gives -5.462 eV per atom. The symmetry is I4/mcm. The density of states at the Fermi level is 8.570 states/eV/cell. The volume is 341.6 Å³/cell. Its formation energy is -0.36 eV per atom.

=====

Record 5
Material: ThScPdAu
Method: DFT, PBE
State: relaxed

The structure in POSCAR format:
```
ThScPdAu
1.0
0.000 3.554 3.554
3.554 0.000 3.554
3.554 3.554 0.000
Th Sc Pd Au
1 1 1 1
Direct
0.000 0.000 0.000
0.500 0.500 0.500
0.750 0.750 0.750
0.250 0.250 0.250
```

For the raw total energy, the calculation gives -6.221 eV per atom. The symmetry is F-43m. The density of states at the Fermi level is 3.874 states/eV/cell. The volume is 89.8 Å³/cell. Its formation energy is -0.67 eV per atom.

=====

Record 6
Material: Sc5Tl2Pd2Au
Method: DFT, PBE
State: relaxed

The structure in POSCAR format:
```
Sc5Tl2Pd2Au
1.0
11.389 0.000 0.000
0.000 11.389 0.000
0.000 0.000 3.346
Sc Tl Pd Au
10 4 4 2
Direct
0.000 0.500 0.000
0.073 0.194 0.000
0.194 0.927 0.000
0.306 0.427 0.000
0.427 0.694 0.000
0.500 0.000 0.000
0.573 0.306 0.000
0.694 0.573 0.000
0.806 0.073 0.000
0.927 0.806 0.000
0.171 0.671 0.500
0.329 0.171 0.500
0.671 0.829 0.500
0.829 0.329 0.500
0.131 0.369 0.500
0.369 0.869 0.500
0.631 0.131 0.500
0.869 0.631 0.500
0.000 0.000 0.500
0.500 0.500 0.500
```

For the raw total energy, the calculation gives -5.562 eV per atom. The symmetry is P4/mbm. The density of states at the Fermi level is 15.011 states/eV/cell. The volume is 434.1 Å³/cell. Its formation energy is -0.56 eV per atom.

=====

Record 7
Material: ScTlPdAu
Method: DFT, PBE
State: relaxed

The structure in POSCAR format:
```
ScTlPdAu
1.0
0.000 3.379 3.379
3.379 0.000 3.379
3.379 3.379 0.000
Sc Tl Pd Au
1 1 1 1
Direct
0.000 0.000 0.000
0.500 0.500 0.500
0.250 0.250 0.250
0.750 0.750 0.750
```

For the raw total energy, the calculation gives -4.798 eV per atom. The symmetry is F-43m. The density of states at the Fermi level is 3.243 states/eV/cell. The volume is 77.2 Å³/cell. Its formation energy is -0.51 eV per atom.

=====

Record 8
Material: TmScPdAu
Method: DFT, PBE
State: relaxed

The structure in POSCAR format:
```
TmScPdAu
1.0
0.000 3.437 3.437
3.437 0.000 3.437
3.437 3.437 0.000
Tm Sc Pd Au
1 1 1 1
Direct
0.000 0.000 0.000
0.500 0.500 0.500
0.750 0.750 0.750
0.250 0.250 0.250
```

For the raw total energy, the calculation gives -5.678 eV per atom. The symmetry is F-43m. The density of states at the Fermi level is 3.115 states/eV/cell. The volume is 81.2 Å³/cell. Its formation energy is -0.86 eV per atom.

=====

Record 9
Material: Sc2PdWAu
Method: DFT, PBE
State: relaxed

The structure in POSCAR format:
```
Sc2PdWAu
1.0
4.962 0.000 0.000
0.000 4.962 0.000
0.000 0.000 4.743
Sc Pd W Au
2 1 1 1
Direct
0.000 0.500 0.000
0.500 0.000 0.000
0.000 0.000 0.000
0.000 0.000 0.500
0.500 0.500 0.500
```

For the raw total energy, the calculation gives -6.164 eV per atom. The symmetry is P4/mmm. The density of states at the Fermi level is 6.392 states/eV/cell. The volume is 116.8 Å³/cell. Its formation energy is 0.65 eV per atom.

=====

Record 10
Material: Zr2ScPdAu
Method: DFT, PBE
State: relaxed

The structure in POSCAR format:
```
Zr2ScPdAu
1.0
4.986 0.000 0.000
0.000 4.986 0.000
0.000 0.000 4.810
Zr Sc Pd Au
2 1 1 1
Direct
0.000 0.500 0.000
0.500 0.000 0.000
0.000 0.000 0.000
0.500 0.500 0.500
0.000 0.000 0.500
```

For the raw total energy, the calculation gives -5.435 eV per atom. The symmetry is P4/mmm. The density of states at the Fermi level is 5.542 states/eV/cell. The volume is 119.6 Å³/cell. Its formation energy is 0.94 eV per atom.

=====

Record 11
Material: PdAuSe3
Method: DFT, PBE
State: relaxed

The structure in POSCAR format:
```
PdAuSe3
1.0
4.938 0.000 0.000
0.000 4.938 0.000
0.000 0.000 4.938
Pd Au Se
1 1 3
Direct
0.000 0.000 0.000
0.500 0.500 0.500
0.000 0.000 0.500
0.000 0.500 0.000
0.500 0.000 0.000
```

As for the formation energy without anion corrections: 14.4 kcal/mol of atoms. For the raw total energy, the calculation gives -3.159 eV per atom. The symmetry is Pm-3m. The density of states at the Fermi level is 8.616 states/eV/cell. The volume is 120.4 Å³/cell.

=====

Record 12
Material: Pd2AuSe2
Method: DFT, PBE
State: relaxed

The structure in POSCAR format:
```
Pd2AuSe2
1.0
-1.980 1.980 6.280
1.980 -1.980 6.280
1.980 1.980 -6.280
Pd Au Se
2 1 2
Direct
0.250 0.750 0.500
0.750 0.250 0.500
0.000 0.000 0.000
0.382 0.382 0.000
0.618 0.618 0.000
```

As for the formation energy without anion corrections: 3.6 kcal/mol of atoms. For the raw total energy, the calculation gives -3.972 eV per atom. The symmetry is I4/mmm. The density of states at the Fermi level is 3.914 states/eV/cell. The volume is 98.5 Å³/cell.

=====

Record 13
Material: Pd6Au3Se
Method: DFT, PBE
State: relaxed

The structure in POSCAR format:
```
Pd6Au3Se
1.0
8.299 0.000 0.000
0.000 10.168 0.000
0.000 0.000 4.059
Pd Au Se
12 6 2
Direct
0.056 0.234 0.000
0.169 0.061 0.500
0.228 0.370 0.500
0.272 0.870 0.000
0.331 0.561 0.000
0.444 0.734 0.500
0.556 0.266 0.500
0.669 0.439 0.000
0.728 0.130 0.000
0.772 0.630 0.500
0.831 0.939 0.500
0.944 0.766 0.000
0.000 0.500 0.000
0.127 0.669 0.500
0.373 0.169 0.000
0.500 0.000 0.500
0.627 0.831 0.000
0.873 0.331 0.500
0.000 0.000 0.000
0.500 0.500 0.500
```

As for the formation energy without anion corrections: -0.8 kcal/mol of atoms. For the raw total energy, the calculation gives -4.482 eV per atom. The symmetry is Pnnm. The density of states at the Fermi level is 12.363 states/eV/cell. The volume is 342.5 Å³/cell.

=====

Record 14
Material: Pd3AuSe
Method: DFT, PBE
State: relaxed

The structure in POSCAR format:
```
Pd3AuSe
1.0
4.956 0.000 0.000
0.000 4.956 0.000
0.000 0.000 4.956
Pd Au Se
3 1 1
Direct
0.000 0.000 0.500
0.000 0.500 0.000
0.500 0.000 0.000
0.000 0.000 0.000
0.500 0.500 0.500
```

As for the formation energy without anion corrections: 23.8 kcal/mol of atoms. For the raw total energy, the calculation gives -3.434 eV per atom. The symmetry is Pm-3m. The density of states at the Fermi level is 5.745 states/eV/cell. The volume is 121.7 Å³/cell.

=====

Record 15
Material: Pd2AuSe
Method: DFT, PBE
State: relaxed

The structure in POSCAR format:
```
Pd2AuSe
1.0
3.150 0.000 0.000
0.000 3.150 0.000
0.000 0.000 6.779
Pd Au Se
2 1 1
Direct
0.000 0.000 0.232
0.000 0.000 0.768
0.500 0.500 0.500
0.500 0.500 0.000
```

As for the formation energy without anion corrections: -2.0 kcal/mol of atoms. For the raw total energy, the calculation gives -4.376 eV per atom. The symmetry is P4/mmm. The density of states at the Fermi level is 2.289 states/eV/cell. The volume is 67.3 Å³/cell.

=====

Record 16
Material: Pd2AuSe
Method: DFT, PBE
State: relaxed

The structure in POSCAR format:
```
Pd2AuSe
1.0
-3.630 3.630 2.741
3.630 -3.630 2.741
3.630 3.630 -2.741
Pd Au Se
4 2 2
Direct
0.096 0.625 0.971
0.375 0.346 0.471
0.654 0.125 0.029
0.875 0.904 0.529
0.250 0.750 0.500
0.500 0.500 0.000
0.000 0.000 0.000
0.750 0.250 0.500
```

As for the formation energy without anion corrections: 0.6 kcal/mol of atoms. For the raw total energy, the calculation gives -4.259 eV per atom. The symmetry is I-42d. The density of states at the Fermi level is 6.952 states/eV/cell. The volume is 144.4 Å³/cell.

=====

Record 17
Material: Pd5AuSe8
Method: DFT, PBE
State: relaxed

The structure in POSCAR format:
```
Pd5AuSe8
1.0
0.000 5.364 5.364
5.364 0.000 5.364
5.364 5.364 0.000
Pd Au Se
5 1 8
Direct
0.000 0.000 0.000
0.374 0.374 0.374
0.374 0.374 0.878
0.374 0.878 0.374
0.878 0.374 0.374
0.750 0.750 0.750
0.136 0.136 0.136
0.136 0.136 0.593
0.136 0.593 0.136
0.167 0.611 0.611
0.593 0.136 0.136
0.611 0.167 0.611
0.611 0.611 0.167
0.611 0.611 0.611
```

As for the formation energy without anion corrections: -5.8 kcal/mol of atoms. For the raw total energy, the calculation gives -4.333 eV per atom. The symmetry is F-43m. The density of states at the Fermi level is 6.103 states/eV/cell. The volume is 308.7 Å³/cell.

=====

Record 18
Material: Pd6AuSe8
Method: DFT, PBE
State: relaxed

The structure in POSCAR format:
```
Pd6AuSe8
1.0
4.992 2.882 3.720
-4.992 2.882 3.720
0.000 -5.764 3.720
Pd Au Se
6 1 8
Direct
0.186 0.413 0.549
0.413 0.549 0.186
0.451 0.814 0.587
0.549 0.186 0.413
0.587 0.451 0.814
0.814 0.587 0.451
0.000 0.000 0.000
0.153 0.728 0.354
0.226 0.226 0.226
0.272 0.646 0.847
0.354 0.153 0.728
0.646 0.847 0.272
0.728 0.354 0.153
0.774 0.774 0.774
0.847 0.272 0.646
```

As for the formation energy without anion corrections: -4.4 kcal/mol of atoms. For the raw total energy, the calculation gives -4.343 eV per atom. The symmetry is R-3. The density of states at the Fermi level is 9.888 states/eV/cell. The volume is 321.2 Å³/cell.

=====

Record 19
Material: Pd2AuSe3
Method: DFT, PBE
State: relaxed

The structure in POSCAR format:
```
Pd2AuSe3
1.0
7.464 0.000 0.000
-3.732 6.464 0.000
0.000 0.000 5.095
Pd Au Se
4 2 6
Direct
0.000 0.000 0.000
0.000 0.500 0.000
0.500 0.000 0.000
0.500 0.500 0.000
0.333 0.667 0.361
0.667 0.333 0.639
0.176 0.351 0.746
0.176 0.824 0.746
0.351 0.176 0.254
0.649 0.824 0.746
0.824 0.176 0.254
0.824 0.649 0.254
```

As for the formation energy without anion corrections: -5.0 kcal/mol of atoms. For the raw total energy, the calculation gives -4.236 eV per atom. The symmetry is P-3m1. The density of states at the Fermi level is 6.589 states/eV/cell. The volume is 245.8 Å³/cell.

=====

Record 20
Material: Pd2AuSe
Method: DFT, PBE
State: relaxed

The structure in POSCAR format:
```
Pd2AuSe
1.0
1.557 0.899 8.198
-1.557 0.899 8.198
0.000 -1.798 8.198
Pd Au Se
2 1 1
Direct
0.000 0.000 0.000
0.179 0.179 0.179
0.756 0.756 0.756
0.589 0.589 0.589
```

As for the formation energy without anion corrections: -1.4 kcal/mol of atoms. For the raw total energy, the calculation gives -4.349 eV per atom. The symmetry is R3m. The density of states at the Fermi level is 1.884 states/eV/cell. The volume is 68.8 Å³/cell.